Record 1
VASP calculation (GGA-PBE) on a geometry-optimized HgPdPbO2 structure.

CIF file:
```
data_HgPdPbO2
_chemical_formula_sum 'Hg1 Pd1 Pb1 O2'
_space_group_name_H-M_alt 'P 1'
_space_group_IT_number 1
_cell_length_a 4.159
_cell_length_b 5.300
_cell_length_c 4.159
_cell_angle_alpha 90.00
_cell_angle_beta 90.00
_cell_angle_gamma 90.00
loop_
_space_group_symop_operation_xyz
'x,y,z'
loop_
_atom_site_label
_atom_site_type_symbol
_atom_site_fract_x
_atom_site_fract_y
_atom_site_fract_z
Pb1 Pb 0.500 0.500 0.500
O1 O 0.000 0.000 0.500
O2 O 0.500 0.000 0.000
Hg1 Hg 0.000 0.500 0.000
Pd1 Pd 0.000 0.000 0.000
```

As for the total magnetization: 0.4 μB per cell. The formation energy without anion corrections is 81 meV per atom. The value obtained for the total energy is -18.72 eV per cell. The calculation puts the density of states at the Fermi level at 4.084 states/eV per cell.

***

Record 2
VASP calculation (GGA-PBE) on a geometry-optimized BaGdDy2 structure.

CIF file:
```
data_BaGdDy2
_chemical_formula_sum 'Ba1 Gd1 Dy2'
_space_group_name_H-M_alt 'P 1'
_space_group_IT_number 1
_cell_length_a 3.610
_cell_length_b 3.610
_cell_length_c 13.039
_cell_angle_alpha 82.04
_cell_angle_beta 82.04
_cell_angle_gamma 60.00
loop_
_space_group_symop_operation_xyz
'x,y,z'
loop_
_atom_site_label
_atom_site_type_symbol
_atom_site_fract_x
_atom_site_fract_y
_atom_site_fract_z
Gd1 Gd 0.500 0.500 0.500
Ba1 Ba 0.000 0.000 0.000
Dy1 Dy 0.093 0.093 0.720
Dy2 Dy 0.907 0.907 0.280
```

The calculation puts the offset from the most stable computed form at 7.04 kJ per mole of atoms. As for the total magnetization: 6.9 μB per cell. The value obtained for the total energy is -24.27 eV per cell. The calculation puts the density of states at the Fermi level at 6.575 states/eV per cell.

***

Record 3
VASP calculation (GGA-PBE) on a geometry-optimized HfTe3Rh structure.

CIF file:
```
data_HfTe3Rh
_chemical_formula_sum 'Hf1 Te3 Rh1'
_space_group_name_H-M_alt 'P 1'
_space_group_IT_number 1
_cell_length_a 5.144
_cell_length_b 5.144
_cell_length_c 5.144
_cell_angle_alpha 90.00
_cell_angle_beta 90.00
_cell_angle_gamma 90.00
loop_
_space_group_symop_operation_xyz
'x,y,z'
loop_
_atom_site_label
_atom_site_type_symbol
_atom_site_fract_x
_atom_site_fract_y
_atom_site_fract_z
Rh1 Rh 0.000 0.000 0.000
Te1 Te 0.000 0.500 0.000
Te2 Te 0.000 0.000 0.500
Te3 Te 0.500 0.000 0.000
Hf1 Hf 0.500 0.500 0.500
```

The calculation puts the offset from the most stable computed form at 0.00 kJ per mole of atoms. As for the total magnetization: 0.0 μB per cell. The formation energy without anion corrections is 389 meV per atom. The value obtained for the total energy is -24.78 eV per cell. The calculation puts the density of states at the Fermi level at 4.143 states/eV per cell.

***

Record 4
VASP calculation (GGA-PBE) on a geometry-optimized TaTe2Pt structure.

CIF file:
```
data_TaTe2Pt
_chemical_formula_sum 'Ta1 Te2 Pt1'
_space_group_name_H-M_alt 'P 1'
_space_group_IT_number 1
_cell_length_a 4.889
_cell_length_b 4.889
_cell_length_c 4.889
_cell_angle_alpha 60.00
_cell_angle_beta 60.00
_cell_angle_gamma 60.00
loop_
_space_group_symop_operation_xyz
'x,y,z'
loop_
_atom_site_label
_atom_site_type_symbol
_atom_site_fract_x
_atom_site_fract_y
_atom_site_fract_z
Te1 Te 0.250 0.250 0.250
Te2 Te 0.750 0.750 0.750
Pt1 Pt 0.500 0.500 0.500
Ta1 Ta 0.000 0.000 0.000
```

As for the total magnetization: 0.0 μB per cell. The formation energy without anion corrections is 279 meV per atom. The value obtained for the total energy is -23.06 eV per cell. The calculation puts the density of states at the Fermi level at 4.391 states/eV per cell.

***

Record 5
VASP calculation (GGA-PBE) on a geometry-optimized Li2AlZn2 structure.

CIF file:
```
data_Li2AlZn2
_chemical_formula_sum 'Li4 Al2 Zn4'
_space_group_name_H-M_alt 'P 1'
_space_group_IT_number 1
_cell_length_a 7.014
_cell_length_b 7.014
_cell_length_c 3.063
_cell_angle_alpha 90.00
_cell_angle_beta 90.00
_cell_angle_gamma 90.00
loop_
_space_group_symop_operation_xyz
'x,y,z'
loop_
_atom_site_label
_atom_site_type_symbol
_atom_site_fract_x
_atom_site_fract_y
_atom_site_fract_z
Zn1 Zn 0.157 0.657 0.500
Zn2 Zn 0.657 0.843 0.500
Zn3 Zn 0.843 0.343 0.500
Zn4 Zn 0.343 0.157 0.500
Al1 Al 0.000 0.000 0.000
Al2 Al 0.500 0.500 0.000
Li1 Li 0.362 0.862 0.000
Li2 Li 0.862 0.638 0.000
Li3 Li 0.638 0.138 0.000
Li4 Li 0.138 0.362 0.000
```

The calculation puts the offset from the most stable computed form at 16.42 kJ per mole of atoms. As for the total magnetization: 0.0 μB per cell. The value obtained for the total energy is -20.46 eV per cell. The calculation puts the density of states at the Fermi level at 3.662 states/eV per cell.

***

Record 6
VASP calculation (GGA-PBE) on a geometry-optimized Th2Cd16In structure.

CIF file:
```
data_Th2Cd16In
_chemical_formula_sum 'Th2 Cd16 In1'
_space_group_name_H-M_alt 'P 1'
_space_group_IT_number 1
_cell_length_a 7.673
_cell_length_b 7.673
_cell_length_c 7.673
_cell_angle_alpha 83.28
_cell_angle_beta 83.28
_cell_angle_gamma 83.28
loop_
_space_group_symop_operation_xyz
'x,y,z'
loop_
_atom_site_label
_atom_site_type_symbol
_atom_site_fract_x
_atom_site_fract_y
_atom_site_fract_z
Th1 Th 0.668 0.668 0.668
Th2 Th 0.338 0.338 0.338
Cd1 Cd 0.696 0.997 0.308
Cd2 Cd 0.997 0.308 0.696
Cd3 Cd 0.308 0.696 0.997
Cd4 Cd 0.997 0.696 0.308
Cd5 Cd 0.696 0.308 0.997
Cd6 Cd 0.308 0.997 0.696
Cd7 Cd 0.369 0.801 0.369
Cd8 Cd 0.801 0.369 0.369
Cd9 Cd 0.369 0.369 0.801
Cd10 Cd 0.653 0.137 0.653
Cd11 Cd 0.137 0.653 0.653
Cd12 Cd 0.653 0.653 0.137
Cd13 Cd 0.023 0.474 0.023
Cd14 Cd 0.474 0.023 0.023
Cd15 Cd 0.023 0.023 0.474
Cd16 Cd 0.094 0.094 0.094
In1 In 0.896 0.896 0.896
```

As for the total magnetization: 0.0 μB per cell. The value obtained for the total energy is -33.50 eV per cell. The calculation puts the density of states at the Fermi level at 7.551 states/eV per cell.

***

Record 7
VASP calculation (GGA-PBE) on a geometry-optimized MnCoPt4 structure.

CIF file:
```
data_MnCoPt4
_chemical_formula_sum 'Mn2 Co2 Pt8'
_space_group_name_H-M_alt 'P 1'
_space_group_IT_number 1
_cell_length_a 2.732
_cell_length_b 7.506
_cell_length_c 8.756
_cell_angle_alpha 90.00
_cell_angle_beta 90.00
_cell_angle_gamma 90.00
loop_
_space_group_symop_operation_xyz
'x,y,z'
loop_
_atom_site_label
_atom_site_type_symbol
_atom_site_fract_x
_atom_site_fract_y
_atom_site_fract_z
Mn1 Mn 0.000 0.184 0.250
Mn2 Mn 0.000 0.816 0.750
Co1 Co 0.000 0.522 0.250
Co2 Co 0.000 0.478 0.750
Pt1 Pt 0.500 0.330 0.024
Pt2 Pt 0.500 0.330 0.476
Pt3 Pt 0.500 0.670 0.976
Pt4 Pt 0.500 0.670 0.524
Pt5 Pt 0.500 0.849 0.250
Pt6 Pt 0.500 0.151 0.750
Pt7 Pt 0.000 0.000 0.000
Pt8 Pt 0.000 0.000 0.500
```

The calculation puts the offset from the most stable computed form at 0.00 kJ per mole of atoms. As for the total magnetization: 13.5 μB per cell. The value obtained for the total energy is -81.73 eV per cell. The calculation puts the density of states at the Fermi level at 12.761 states/eV per cell.

***

Record 8
VASP calculation (GGA-PBE) on a geometry-optimized PmEr12Tm6 structure.

CIF file:
```
data_PmEr12Tm6
_chemical_formula_sum 'Pm1 Er12 Tm6'
_space_group_name_H-M_alt 'P 1'
_space_group_IT_number 1
_cell_length_a 9.180
_cell_length_b 9.180
_cell_length_c 9.180
_cell_angle_alpha 107.44
_cell_angle_beta 107.44
_cell_angle_gamma 107.44
loop_
_space_group_symop_operation_xyz
'x,y,z'
loop_
_atom_site_label
_atom_site_type_symbol
_atom_site_fract_x
_atom_site_fract_y
_atom_site_fract_z
Pm1 Pm 0.000 0.000 0.000
Er1 Er 0.889 0.111 0.500
Er2 Er 0.361 0.138 0.361
Er3 Er 0.361 0.361 0.138
Er4 Er 0.862 0.639 0.639
Er5 Er 0.639 0.639 0.862
Er6 Er 0.639 0.862 0.639
Er7 Er 0.500 0.889 0.111
Er8 Er 0.111 0.500 0.889
Er9 Er 0.111 0.889 0.500
Er10 Er 0.500 0.111 0.889
Er11 Er 0.889 0.500 0.111
Er12 Er 0.138 0.361 0.361
Tm1 Tm 0.689 0.273 0.689
Tm2 Tm 0.689 0.689 0.273
Tm3 Tm 0.273 0.689 0.689
Tm4 Tm 0.311 0.311 0.727
Tm5 Tm 0.311 0.727 0.311
Tm6 Tm 0.727 0.311 0.311
```

The calculation puts the offset from the most stable computed form at 26.97 kJ per mole of atoms. As for the total magnetization: 0.0 μB per cell. The value obtained for the total energy is -77.95 eV per cell. The calculation puts the density of states at the Fermi level at 25.949 states/eV per cell.

***

Record 9
VASP calculation (GGA-PBE) on a geometry-optimized Ac3Si4Sn structure.

CIF file:
```
data_Ac3Si4Sn
_chemical_formula_sum 'Ac3 Si4 Sn1'
_space_group_name_H-M_alt 'P 1'
_space_group_IT_number 1
_cell_length_a 4.719
_cell_length_b 6.082
_cell_length_c 9.028
_cell_angle_alpha 109.68
_cell_angle_beta 105.15
_cell_angle_gamma 90.00
loop_
_space_group_symop_operation_xyz
'x,y,z'
loop_
_atom_site_label
_atom_site_type_symbol
_atom_site_fract_x
_atom_site_fract_y
_atom_site_fract_z
Ac1 Ac 0.188 0.188 0.375
Ac2 Ac 0.812 0.812 0.625
Ac3 Ac 0.000 0.500 0.000
Si1 Si 0.373 0.563 0.745
Si2 Si 0.627 0.437 0.255
Si3 Si 0.627 0.818 0.255
Si4 Si 0.373 0.182 0.745
Sn1 Sn 0.500 0.000 0.000
```

As for the total magnetization: 0.0 μB per cell. The formation energy without anion corrections is -411 meV per atom. The value obtained for the total energy is -41.31 eV per cell. The calculation puts the density of states at the Fermi level at 4.236 states/eV per cell.

***

Record 10
VASP calculation (GGA-PBE) on a geometry-optimized LiSeBr3 structure.

CIF file:
```
data_LiSeBr3
_chemical_formula_sum 'Li1 Se1 Br3'
_space_group_name_H-M_alt 'P 1'
_space_group_IT_number 1
_cell_length_a 4.964
_cell_length_b 4.964
_cell_length_c 4.964
_cell_angle_alpha 90.00
_cell_angle_beta 90.00
_cell_angle_gamma 90.00
loop_
_space_group_symop_operation_xyz
'x,y,z'
loop_
_atom_site_label
_atom_site_type_symbol
_atom_site_fract_x
_atom_site_fract_y
_atom_site_fract_z
Se1 Se 0.500 0.500 0.500
Br1 Br 0.000 0.500 0.000
Br2 Br 0.000 0.000 0.500
Br3 Br 0.500 0.000 0.000
Li1 Li 0.000 0.000 0.000
```

The calculation puts the offset from the most stable computed form at 58.77 kJ per mole of atoms. As for the total magnetization: 0.0 μB per cell. The formation energy without anion corrections is -9 meV per atom. The value obtained for the total energy is -10.46 eV per cell. The calculation puts the density of states at the Fermi level at 3.605 states/eV per cell.

***

Record 11
VASP calculation (GGA-PBE) on a geometry-optimized Nb2GaP structure.

CIF file:
```
data_Nb2GaP
_chemical_formula_sum 'Nb2 Ga1 P1'
_space_group_name_H-M_alt 'P 1'
_space_group_IT_number 1
_cell_length_a 3.513
_cell_length_b 3.513
_cell_length_c 6.825
_cell_angle_alpha 75.09
_cell_angle_beta 75.09
_cell_angle_gamma 60.00
loop_
_space_group_symop_operation_xyz
'x,y,z'
loop_
_atom_site_label
_atom_site_type_symbol
_atom_site_fract_x
_atom_site_fract_y
_atom_site_fract_z
Nb1 Nb 0.070 0.070 0.790
Nb2 Nb 0.264 0.264 0.207
Ga1 Ga 0.499 0.499 0.504
P1 P 0.667 0.667 0.999
```

The calculation puts the offset from the most stable computed form at 0.00 kJ per mole of atoms. As for the total magnetization: 0.0 μB per cell. The value obtained for the total energy is -30.62 eV per cell. The calculation puts the density of states at the Fermi level at 1.802 states/eV per cell.

***

Record 12
VASP calculation (GGA-PBE) on a geometry-optimized Np3AlTl3Te8 structure.

CIF file:
```
data_Np3AlTl3Te8
_chemical_formula_sum 'Np3 Al1 Tl3 Te8'
_space_group_name_H-M_alt 'P 1'
_space_group_IT_number 1
_cell_length_a 8.802
_cell_length_b 8.802
_cell_length_c 9.677
_cell_angle_alpha 117.06
_cell_angle_beta 89.99
_cell_angle_gamma 120.00
loop_
_space_group_symop_operation_xyz
'x,y,z'
loop_
_atom_site_label
_atom_site_type_symbol
_atom_site_fract_x
_atom_site_fract_y
_atom_site_fract_z
Np1 Np 0.500 0.000 0.500
Np2 Np 0.500 0.500 0.500
Np3 Np 0.000 0.500 0.500
Al1 Al 0.000 0.000 0.500
Tl1 Tl 0.000 0.000 0.000
Tl2 Tl 0.000 0.500 0.000
Tl3 Tl 0.500 0.500 0.000
Te1 Te 0.262 0.523 0.285
Te2 Te 0.738 0.477 0.715
Te3 Te 0.778 0.556 0.302
Te4 Te 0.222 0.444 0.698
Te5 Te 0.778 0.023 0.302
Te6 Te 0.222 0.977 0.698
Te7 Te 0.245 0.024 0.302
Te8 Te 0.755 0.976 0.698
```

As for the total magnetization: 11.0 μB per cell. The formation energy without anion corrections is -489 meV per atom. The value obtained for the total energy is -82.14 eV per cell. The calculation puts the density of states at the Fermi level at 26.285 states/eV per cell.

***

- Look up the total energy of the second one.
  -24.27 eV per cell